DFT (PBE) results for an optimized crystal structure of TePt2Rh. Values from VASP.

D(E_F)	5.42	states/eV/f.u.
VASP energy	-5.596	eV/atom
distance to the lowest polymorph of the same formula	68	meV per atom
formation energy without anion corrections	0.05	eV per atom

The structure in Quantum ESPRESSO input format:
```
&SYSTEM
  ibrav = 0, nat = 4, ntyp = 3
/
ATOMIC_SPECIES
Te 127.60 Te.upf
Pt 195.08 Pt.upf
Rh 102.91 Rh.upf
ATOMIC_POSITIONS crystal
Te 0.000 0.000 0.000
Pt 0.224 0.724 0.500
Pt 0.776 0.276 0.500
Rh 0.500 0.500 0.000
CELL_PARAMETERS angstrom
-1.789 2.073 4.646
1.789 -2.073 4.646
1.789 2.073 -4.646
```